Density functional theory data (GGA-PBE) for a relaxed structure of KRe.

```
KRe
1.0
2.791 -4.834 0.000
2.791 4.834 0.000
0.000 0.000 7.948
K Re
4 4
direct
0.000 0.000 0.250
0.000 0.000 0.750
0.333 0.667 0.750
0.667 0.333 0.250
0.333 0.667 0.112
0.667 0.333 0.612
0.667 0.333 0.888
0.333 0.667 0.388
```

Results
ΔE to the lowest computed polymorph = 97.5 kJ/mol of atoms